Compound: Ge2BI8
Source: Alexandria via LeMat-Bulk
Functional: GGA-PBE
Structure: relaxed

Geometry as POSCAR:
```
Ge2BI8
1.0
-8.986 5.553 4.232
-2.550 0.695 9.475
-1.638 9.692 -0.395
I B Ge
8 1 2
Cartesian
-8.285 5.939 10.891
-4.472 6.213 5.250
-4.650 8.897 7.680
-4.888 10.002 2.421
-7.658 12.127 4.102
-5.515 3.814 9.210
-8.523 7.043 5.632
-8.700 9.728 8.063
0.000 0.000 0.000
-6.372 4.952 3.925
-6.800 10.988 9.387
```

Properties
Magnetic moment: 0.00 μB/cell
Total DFT energy (no corrections): -27.76 eV per cell
Formation energy without anion corrections: 0.051 eV per atom
Space-group type: C2/m (12)

=====

Compound: GeBI3
Source: Alexandria via LeMat-Bulk
Functional: GGA-PBE
Structure: relaxed

Geometry as POSCAR:
```
GeBI3
1.0
-3.530 1.884 -3.223
2.093 -2.674 -3.856
-3.091 -3.962 1.071
Ge B I
1 1 3
Cartesian
-2.264 -2.376 -3.004
0.000 0.000 0.000
-1.545 -1.981 0.535
1.046 -1.337 -1.928
-1.765 0.942 -1.611
```

Properties
Magnetic moment: 0.00 μB/cell
Total DFT energy (no corrections): -12.05 eV per cell
Formation energy without anion corrections: 0.779 eV per atom
Space-group type: Pm-3m (221)
Relative energy among the computed polymorphs: 0.000 eV per atom

=====

Compound: GeBI2
Source: Alexandria via LeMat-Bulk
Functional: GGA-PBE
Structure: relaxed

Geometry as POSCAR:
```
GeBI2
1.0
0.000 3.696 3.696
3.696 0.000 3.696
3.696 3.696 0.000
I Ge B
2 1 1
Cartesian
1.848 1.848 1.848
5.544 5.544 5.544
3.696 3.696 3.696
0.000 0.000 0.000
```

Properties
Magnetic moment: 0.00 μB/cell
Total DFT energy (no corrections): -9.82 eV per cell
Formation energy without anion corrections: 1.144 eV per atom
Space-group type: Fm-3m (225)
Relative energy among the computed polymorphs: 0.075 eV per atom

=====

Compound: Ge3BI
Source: Alexandria via LeMat-Bulk
Functional: GGA-PBE
Structure: relaxed

Geometry as POSCAR:
```
Ge3BI
1.0
5.481 0.000 0.000
0.000 5.481 0.000
0.000 0.000 5.481
I Ge B
1 3 1
Cartesian
0.000 0.000 0.000
2.741 0.000 0.000
0.000 0.000 2.741
0.000 2.741 0.000
2.741 2.741 2.741
```

Properties
Magnetic moment: 0.00 μB/cell
Total DFT energy (no corrections): -11.83 eV per cell
Formation energy without anion corrections: 2.050 eV per atom
Space-group type: Pm-3m (221)
Relative energy among the computed polymorphs: 1.271 eV per atom

=====

Compound: GeB2I8
Source: Alexandria via LeMat-Bulk
Functional: GGA-PBE
Structure: relaxed

Geometry as POSCAR:
```
GeB2I8
1.0
1.648 3.596 9.311
-5.482 -5.067 8.423
7.066 -6.160 6.624
Ge I B
2 16 4
Cartesian
3.969 -5.801 7.296
-0.736 -1.831 17.062
-3.504 -5.816 10.733
2.685 -2.074 10.537
-0.474 -3.314 9.231
3.706 -4.318 15.127
2.534 -3.192 7.018
-0.479 -0.455 4.976
0.547 -5.558 13.821
-3.011 -3.132 15.784
2.349 -5.674 9.717
6.243 -4.500 8.574
0.699 -4.440 17.340
6.737 -1.816 13.625
0.884 -1.958 14.641
3.712 -7.177 19.382
0.128 1.657 11.067
3.105 -9.289 13.291
-0.208 -0.381 2.789
1.450 -4.103 15.210
3.441 -7.251 21.569
1.782 -3.529 9.148
```

Properties
Magnetic moment: 0.00 μB/cell
Total DFT energy (no corrections): -62.62 eV per cell
Formation energy without anion corrections: -0.085 eV per atom
Space-group type: C2/c (15)

=====

Compound: GeBI3
Source: Alexandria via LeMat-Bulk
Functional: GGA-PBE
Structure: relaxed

Geometry as POSCAR:
```
GeBI3
1.0
5.780 0.000 0.000
0.000 5.780 0.000
0.000 0.000 5.780
I Ge B
3 1 1
Cartesian
0.000 0.000 2.890
2.890 0.000 0.000
0.000 2.890 0.000
0.000 0.000 0.000
2.890 2.890 2.890
```

Properties
Magnetic moment: 0.00 μB/cell
Total DFT energy (no corrections): -11.28 eV per cell
Formation energy without anion corrections: 0.933 eV per atom
Space-group type: Pm-3m (221)
Relative energy among the computed polymorphs: 0.154 eV per atom

=====

Compound: LaGe2BI
Source: Alexandria via LeMat-Bulk
Functional: GGA-PBE
Structure: relaxed

Geometry as POSCAR:
```
LaGe2BI
1.0
-3.883 0.102 -3.793
-3.122 -1.002 3.170
-0.762 5.295 0.923
Ge B I La
2 1 1 1
Cartesian
-1.942 0.051 -1.896
-0.381 2.648 0.462
-1.561 -0.501 1.585
0.000 0.000 0.000
-3.884 2.198 0.151
```

Properties
Magnetic moment: 0.00 μB/cell
Total DFT energy (no corrections): -17.31 eV per cell
Formation energy without anion corrections: 1.017 eV per atom
Space-group type: P4/mmm (123)

=====

Compound: MgGe2BI
Source: Alexandria via LeMat-Bulk
Functional: GGA-PBE
Structure: relaxed

Geometry as POSCAR:
```
MgGe2BI
1.0
4.219 0.000 0.000
0.000 7.681 0.000
0.000 0.000 4.219
Mg B Ge I
1 1 2 1
Cartesian
2.109 3.840 2.109
0.000 0.000 0.000
2.109 0.000 0.000
0.000 0.000 2.109
0.000 3.840 0.000
```

Properties
Magnetic moment: 0.00 μB/cell
Total DFT energy (no corrections): -16.06 eV per cell
Formation energy without anion corrections: 0.599 eV per atom
Space-group type: P4/mmm (123)

=====

Compound: GeB2PI
Source: Alexandria via LeMat-Bulk
Functional: GGA-PBE
Structure: relaxed

Geometry as POSCAR:
```
GeB2PI
1.0
-3.991 -0.448 0.230
0.633 -3.371 4.428
-0.216 3.181 2.453
B Ge I P
2 1 1 1
Cartesian
-0.108 1.591 1.226
-1.996 -0.224 0.115
0.317 -1.685 2.214
-1.787 -0.319 3.555
0.000 0.000 0.000
```

Properties
Magnetic moment: 0.00 μB/cell
Total DFT energy (no corrections): -18.57 eV per cell
Formation energy without anion corrections: 1.271 eV per atom
Space-group type: P4/mmm (123)

=====

Compound: Rb2GeBI6
Source: Alexandria via LeMat-Bulk
Functional: GGA-PBE
Structure: relaxed

Geometry as POSCAR:
```
Rb2GeBI6
1.0
-5.666 0.369 6.307
4.028 -6.315 3.988
2.230 0.570 7.679
B I Rb Ge
1 6 2 1
Cartesian
-0.819 -2.973 5.148
0.523 -1.414 6.262
1.626 -4.659 4.563
0.069 -3.962 11.713
-3.264 -1.287 5.732
-1.232 -4.473 7.744
-0.406 -1.473 2.551
2.720 -4.359 8.408
-2.127 -1.017 9.567
0.000 0.000 0.000
```

Properties
Magnetic moment: 0.00 μB/cell
Total DFT energy (no corrections): -26.37 eV per cell
Formation energy without anion corrections: -0.384 eV per atom
Space-group type: I4/mmm (139)